The following is a DFT calculation (PBE-GGA) of an optimized crystal structure of Tb4Te2PPb.

* uncorrected formation energy: -1.226 eV per atom
* SG: P2/m
* DFT total energy: -43.729 eV per cell

a b c (Å): 4.290 7.476 7.535
angles (deg): 109.07 90.00 90.00
Sites, in units of the cell vectors:
Tb1 0.000 0.273 0.780
Tb2 0.000 0.727 0.220
Tb3 0.500 0.258 0.231
Tb4 0.500 0.742 0.769
P1 0.500 0.500 0.000
Te1 0.500 0.000 0.500
Te2 0.000 0.500 0.500
Pb1 0.000 0.000 0.000

The following is a DFT calculation (PBE-GGA) of an optimized crystal structure of AlAs3N.

* relative energy among the computed polymorphs: 0.0 meV/atom
* uncorrected formation energy: 0.693 eV per atom
* SG: Pm-3m
* DFT total energy: -22.551 eV per cell

a b c (Å): 4.359 4.359 4.359
angles (deg): 90.00 90.00 90.00
Sites, in units of the cell vectors:
N1 0.000 0.000 0.000
As1 0.000 0.500 0.000
As2 0.000 0.000 0.500
As3 0.500 0.000 0.000
Al1 0.500 0.500 0.500